# 1
Density functional theory data (GGA-PBE) for an optimized crystal structure of P2IrSe.

The space group is Pmm2 (No. 25) and the conventional cell measures 3.018, 3.226 and 7.196 Å, with angles of 90.00, 90.00 and 90.00 degrees. The asymmetric unit holds P at (0.000, 0.000, 0.000), P at (0.500, 0.500, 0.152), Ir at (0.500, 0.500, 0.814) and Se at (0.000, 0.000, 0.571).

For the total energy, the calculation gives -5.423 eV/atom. The calculation puts the energy relative to the elements, uncorrected at 8.5 kcal/mol of atoms.

***

# 2
Density functional theory data (GGA-PBE) for an optimized crystal structure of CdTeSe.

The space group is F-43m (No. 216) and the conventional cell measures 6.993, 6.993 and 6.993 Å, with angles of 90.00, 90.00 and 90.00 degrees. The asymmetric unit holds Cd at (0.000, 0.000, 0.000), Te at (0.250, 0.250, 0.250) and Se at (0.250, 0.250, 0.750).

For the total energy, the calculation gives -2.421 eV/atom. The calculation puts the energy relative to the elements, uncorrected at 2.1 kcal/mol of atoms. The energy above the most stable polymorph in this dataset comes out at 0.4013 eV/atom.

***

# 3
Density functional theory data (GGA-PBE) for an optimized crystal structure of LaCd7Hg12.

The space group is Im-3 (No. 204) and the conventional cell measures 10.885, 10.885 and 10.885 Å, with angles of 90.00, 90.00 and 90.00 degrees. The asymmetric unit holds La at (0.000, 0.000, 0.000), Cd at (0.000, 0.000, 0.500), Cd at (0.250, 0.250, 0.250) and Hg at (0.000, 0.276, 0.152).

The energy relative to the elements comes out at 1.5 kcal/mol of atoms. For the total energy, the calculation gives -0.684 eV/atom.

***

# 4
Density functional theory data (GGA-PBE) for an optimized crystal structure of K2MoH2.

The space group is I4/mmm (No. 139) and the conventional cell measures 5.446, 5.446 and 9.941 Å, with angles of 90.00, 90.00 and 90.00 degrees. The asymmetric unit holds K at (0.000, 0.500, 0.250), Mo at (0.000, 0.000, 0.000) and H at (0.000, 0.000, 0.188).

For the total energy, the calculation gives -3.312 eV/atom. The energy above the most stable polymorph in this dataset comes out at 0.0000 eV/atom.

***

# 5
Density functional theory data (GGA-PBE) for an optimized crystal structure of Er5Zn2Pb.

The space group is I4/mcm (No. 140) and the conventional cell measures 8.047, 8.047 and 12.832 Å, with angles of 90.00, 90.00 and 90.00 degrees. The asymmetric unit holds Er at (0.000, 0.000, 0.000), Er at (0.153, 0.347, 0.144), Zn at (0.137, 0.363, 0.500) and Pb at (0.000, 0.000, 0.250).

The energy relative to the elements comes out at -7.8 kcal/mol of atoms. For the total energy, the calculation gives -3.970 eV/atom.

***

# 6
Density functional theory data (GGA-PBE) for an optimized crystal structure of Sr2Cu.

The space group is P-3m1 (No. 164) and the conventional cell measures 4.4449, 4.4449 and 7.1725 Å, with angles of 90.00, 90.00 and 120.00 degrees. The asymmetric unit holds Sr at (0.3333, 0.6667, 0.2397) and Cu at (0.0000, 0.0000, 0.0000).

The energy relative to the elements comes out at 0.6 kcal/mol of atoms. For the total energy, the calculation gives -2.461 eV/atom.

***

# 7
Density functional theory data (GGA-PBE) for an optimized crystal structure of BaCaLa4.

The space group is F-43m (No. 216) and the conventional cell measures 10.070, 10.070 and 10.070 Å, with angles of 90.00, 90.00 and 90.00 degrees. The asymmetric unit holds Ba at (0.000, 0.000, 0.000), Ca at (0.250, 0.250, 0.750) and La at (0.119, 0.119, 0.381).

The energy relative to the elements comes out at 4.4 kcal/mol of atoms. For the total energy, the calculation gives -3.750 eV/atom.

***

# 8
Density functional theory data (GGA-PBE) for an optimized crystal structure of NaLi8Mg6.

The space group is R-3 (No. 148, hexagonal axes) and the conventional cell measures 5.4725, 5.4725 and 38.0977 Å, with angles of 90.00, 90.00 and 120.00 degrees. The asymmetric unit holds Na at (0.0000, 0.0000, 0.0000), Li at (0.0000, 0.0000, 0.3332), Li at (0.9998, 0.3317, 0.1343) and Mg at (0.9998, 0.3392, 0.9306).

The energy relative to the elements comes out at 0.1 kcal/mol of atoms. For the total energy, the calculation gives -1.742 eV/atom.

***

# 9
Density functional theory data (GGA-PBE) for an optimized crystal structure of PmTi2Co2.

The space group is I4/mmm (No. 139) and the conventional cell measures 4.166, 4.166 and 10.021 Å, with angles of 90.00, 90.00 and 90.00 degrees. The asymmetric unit holds Pm at (0.000, 0.000, 0.000), Ti at (0.000, 0.500, 0.250) and Co at (0.000, 0.000, 0.381).

The energy relative to the elements comes out at -6.1 kcal/mol of atoms. For the total energy, the calculation gives -7.213 eV/atom.

***

# 10
Density functional theory data (GGA-PBE) for an optimized crystal structure of Y2TaHg.

The space group is Cm (No. 8) and the conventional cell measures 11.597, 3.312 and 5.528 Å, with angles of 90.00, 110.18 and 90.00 degrees. The asymmetric unit holds Y at (0.000, 0.000, 0.000), Y at (0.202, 0.000, 0.626), Ta at (0.254, 0.500, 0.146) and Hg at (0.453, 0.000, 0.480).

The energy relative to the elements comes out at 1.9 kcal/mol of atoms. For the total energy, the calculation gives -6.189 eV/atom.

***

# 11
Density functional theory data (GGA-PBE) for an optimized crystal structure of CaTeRu.

The space group is I4mm (No. 107) and the conventional cell measures 3.427, 3.427 and 11.497 Å, with angles of 90.00, 90.00 and 90.00 degrees. The asymmetric unit holds Ca at (0.000, 0.000, 0.000), Te at (0.000, 0.000, 0.287) and Ru at (0.000, 0.000, 0.681).

For the total energy, the calculation gives -5.036 eV/atom. The calculation puts the energy relative to the elements, uncorrected at -5.3 kcal/mol of atoms. The energy above the most stable polymorph in this dataset comes out at 0.1639 eV/atom.

***

# 12
Density functional theory data (GGA-PBE) for an optimized crystal structure of Ba4AgIr.

The space group is P-1 (No. 2) and the conventional cell measures 7.899, 7.923 and 9.582 Å, with angles of 68.61, 65.77 and 89.86 degrees. The asymmetric unit holds Ba at (0.098, 0.081, 0.245), Ba at (0.156, 0.582, 0.244), Ba at (0.332, 0.351, 0.776), Ba at (0.394, 0.852, 0.775), Ag at (0.258, 0.750, 0.500), Ir at (0.000, 0.000, 0.000) and Ir at (0.500, 0.500, 0.000).

The energy relative to the elements comes out at -2.9 kcal/mol of atoms. For the total energy, the calculation gives -3.359 eV/atom. The energy above the most stable polymorph in this dataset comes out at 0.0320 eV/atom.